# 1
VASP calculation (PBE-GGA) on an optimized crystal structure of KCd2Co.

Cell: 4.8097 4.8131 4.1574 Å, 90.00 90.00 90.00°
Last column: nearest neighbours and their distance in Å.
Fractional positions:
Cd 0.0000 0.0000 0.0000  4 Co 3.18, 4 K 3.18, 4 Cd 3.40
Cd 0.5000 0.5000 0.0000  4 K 3.18, 4 Co 3.18, 4 Cd 3.40
Co 0.5000 0.0000 0.5000  8 Cd 3.18, 4 K 3.40
K 0.0000 0.5000 0.5000  8 Cd 3.18, 4 Co 3.40

energy above the most stable polymorph in this dataset	335	meV per atom
formation energy from the elements	0.653	eV per atom

---

# 2
VASP calculation (PBE-GGA) on an optimized crystal structure of HfTa2VRh.

Cell: 4.8985 4.3863 4.8985 Å, 90.00 90.00 90.00°
Last column: nearest neighbours and their distance in Å.
Fractional positions:
Rh 0.5000 0.5000 0.5000  8 Ta 3.29, 4 V 3.46
V 0.0000 0.5000 0.0000  2 Hf 2.19
Hf 0.0000 0.0000 0.0000  2 V 2.19, 4 Ta 2.45
Ta 0.0000 0.0000 0.5000  2 Hf 2.45
Ta 0.5000 0.0000 0.0000  2 Hf 2.45

energy above the most stable polymorph in this dataset	115	meV per atom
formation energy from the elements	1.928	eV per atom

---

# 3
VASP calculation (PBE-GGA) on an optimized crystal structure of CsRbInF3.

Cell: 4.3643 8.8723 8.4789 Å, 103.80 90.00 104.24°
Last column: nearest neighbours and their distance in Å.
Fractional positions:
Cs 0.3446 0.6893 0.9104  7 F 2.94-3.26
Cs 0.6554 0.3107 0.0896  7 F 2.94-3.26
Rb 0.6619 0.3238 0.5608  3 F 2.67-2.91
Rb 0.3381 0.6762 0.4392  3 F 2.67-2.91
In 0.9897 0.9793 0.2924  3 F 2.32-2.39
In 0.0103 0.0207 0.7076  3 F 2.32-2.39
F 0.8509 0.7019 0.1963  1 In 2.32
F 0.8222 0.6443 0.6555  3 Rb 2.67-2.91
F 0.4906 0.9811 0.1785  2 In 2.39
F 0.1778 0.3557 0.3445  3 Rb 2.67-2.91
F 0.5094 0.0189 0.8215  2 In 2.39
F 0.1491 0.2981 0.8037  1 In 2.32

raw formation energy	-2.29	eV/atom